[1]
MnReSn3: relaxed, PBE.

The excess energy over the best structure of this formula in the dataset comes out at 0 meV/atom. The formation energy comes out at 0.734 eV per atom.

The structure belongs to space group Pm-3m (No. 221); the cell edges are 5.1970, 5.1970 and 5.1970 Å and the angles 90.00°, 90.00° and 90.00°. The asymmetric unit holds Mn at (0.0000, 0.0000, 0.0000), Re at (0.5000, 0.5000, 0.5000) and Sn at (0.0000, 0.5000, 0.5000).

[2]
BaBePd3: relaxed, PBE.

The excess energy over the best structure of this formula in the dataset comes out at 0 meV/atom. The formation energy comes out at -0.429 eV per atom.

The structure belongs to space group Pm-3m (No. 221); the cell edges are 4.5604, 4.5604 and 4.5604 Å and the angles 90.00°, 90.00° and 90.00°. The asymmetric unit holds Ba at (0.0000, 0.0000, 0.0000), Be at (0.5000, 0.5000, 0.5000) and Pd at (0.0000, 0.5000, 0.5000).

[3]
Zr3Mn5S12: relaxed, PBE.

The value obtained for the raw total energy is -1105.0 eV per cell.

The structure belongs to space group Ia-3d (No. 230); the cell edges are 14.6369, 14.6369 and 14.6369 Å and the angles 90.00°, 90.00° and 90.00°. The asymmetric unit holds Zr at (0.0000, 0.2500, 0.1250), Mn at (0.0000, 0.0000, 0.0000), Mn at (0.0000, 0.2500, 0.3750) and S at (0.0231, 0.0661, 0.6515).

[4]
TiBSe3: relaxed, PBE.

The excess energy over the best structure of this formula in the dataset comes out at 121 meV/atom.

The structure belongs to space group Pm-3m (No. 221); the cell edges are 4.9342, 4.9342 and 4.9342 Å and the angles 90.00°, 90.00° and 90.00°. The asymmetric unit holds Ti at (0.0000, 0.0000, 0.0000), B at (0.5000, 0.5000, 0.5000) and Se at (0.0000, 0.0000, 0.5000).

[5]
CaLa2Au: relaxed, PBE.

The excess energy over the best structure of this formula in the dataset comes out at 259 meV/atom. The formation energy comes out at -0.120 eV per atom.

The structure belongs to space group F-43m (No. 216); the cell edges are 7.7186, 7.7186 and 7.7186 Å and the angles 90.00°, 90.00° and 90.00°. The asymmetric unit holds Ca at (0.0000, 0.0000, 0.0000), La at (0.0000, 0.0000, 0.5000), La at (0.2500, 0.2500, 0.2500) and Au at (0.2500, 0.2500, 0.7500).

[6]
TmMn3Ge2: relaxed, PBE.

The formation energy comes out at -0.335 eV per atom.

The structure belongs to space group C2/m (No. 12); the cell edges are 14.5236, 3.9220 and 7.2667 Å and the angles 90.00°, 115.84° and 90.00°. The asymmetric unit holds Tm at (0.1428, 0.0000, 0.0609), Mn at (0.0465, 0.0000, 0.3990), Mn at (0.0836, 0.5000, 0.6289), Mn at (0.1958, 0.5000, 0.4782), Ge at (0.0219, 0.5000, 0.1876) and Ge at (0.2018, 0.0000, 0.7204).

[7]
La2Y8Th: relaxed, PBE.

The excess energy over the best structure of this formula in the dataset comes out at 147 meV/atom. The formation energy comes out at 0.182 eV per atom.

The structure belongs to space group C2/m (No. 12); the cell edges are 9.0140, 16.1402 and 5.8415 Å and the angles 90.00°, 118.61° and 90.00°. The asymmetric unit holds La at (0.0000, 0.1961, 0.0000), Y at (0.0000, 0.2897, 0.5000), Y at (0.0849, 0.0000, 0.2962), Y at (0.2087, 0.3891, 0.1606) and Th at (0.0000, 0.5000, 0.5000).

[8]
Tl2IrCl: relaxed, PBE.

The excess energy over the best structure of this formula in the dataset comes out at 94 meV/atom.

The structure belongs to space group Cmmm (No. 65); the cell edges are 4.7011, 4.7176 and 7.9855 Å and the angles 90.00°, 90.00° and 90.00°. The asymmetric unit holds Tl at (0.0000, 0.0000, 0.2205), Ir at (0.0000, 0.5000, 0.0000) and Cl at (0.0000, 0.5000, 0.5000).